[1]
Material: AsPtRh
Method: DFT, GGA-PBE
State: optimized geometry Values from VASP.

Cell and atoms, written as Quantum ESPRESSO input:
```
&SYSTEM
  ibrav = 0, nat = 3, ntyp = 3
/
ATOMIC_SPECIES
As 74.92 As.upf
Rh 102.91 Rh.upf
Pt 195.08 Pt.upf
CELL_PARAMETERS angstrom
7.298 0.133 -0.092
6.442 2.811 -0.211
0.857 -1.054 2.465
ATOMIC_POSITIONS crystal
As 0.009 0.009 0.991
Rh 0.659 0.659 0.341
Pt 0.332 0.332 0.668
```

Total energy   -5.907 eV/atom
Symmetry   Fmm2 (42)

=====

[2]
Material: Ho8Te4AsPt3
Method: DFT, GGA-PBE
State: optimized geometry Values from VASP.

Cell and atoms, written as Quantum ESPRESSO input:
```
&SYSTEM
  ibrav = 0, nat = 16, ntyp = 4
/
ATOMIC_SPECIES
Ho 164.93 Ho.upf
Te 127.60 Te.upf
As 74.92 As.upf
Pt 195.08 Pt.upf
CELL_PARAMETERS angstrom
-0.998 7.798 2.729
-8.096 -1.885 2.426
6.240 -4.665 2.924
ATOMIC_POSITIONS crystal
Ho 0.242 0.715 0.973
Ho 0.242 0.715 0.483
Ho 0.264 0.292 0.528
Ho 0.732 0.715 0.973
Ho 0.268 0.285 0.027
Ho 0.736 0.708 0.472
Ho 0.758 0.285 0.517
Ho 0.758 0.285 0.027
Te 0.500 0.000 0.000
Te 0.500 0.000 0.500
Te 0.000 0.000 0.000
Te 0.000 0.000 0.500
As 0.000 0.500 0.000
Pt 0.500 0.500 0.000
Pt 0.500 0.500 0.500
Pt 0.000 0.500 0.500
```

Total energy   -5.794 eV/atom
Raw formation energy   -1.30 eV/atom
Symmetry   R-3m (166)

=====

[3]
Material: Na3Li2Pb4
Method: DFT, GGA-PBE
State: optimized geometry Values from VASP.

Cell and atoms, written as Quantum ESPRESSO input:
```
&SYSTEM
  ibrav = 0, nat = 18, ntyp = 3
/
ATOMIC_SPECIES
Na 22.99 Na.upf
Li 6.94 Li.upf
Pb 207.20 Pb.upf
CELL_PARAMETERS angstrom
6.579 0.001 0.002
0.002 8.061 4.607
0.001 -0.031 9.284
ATOMIC_POSITIONS crystal
Na 0.750 0.158 0.159
Na 0.750 0.841 0.842
Na 0.250 0.842 0.841
Na 0.250 0.159 0.158
Na 0.250 0.500 0.500
Na 0.750 0.500 0.500
Li 0.502 0.167 0.509
Li 0.998 0.491 0.833
Li 0.498 0.833 0.491
Li 0.002 0.509 0.167
Pb 0.500 0.816 0.174
Pb 0.000 0.826 0.184
Pb 0.500 0.184 0.826
Pb 0.000 0.174 0.816
Pb 0.002 0.185 0.460
Pb 0.498 0.540 0.815
Pb 0.998 0.815 0.540
Pb 0.502 0.460 0.185
```

Total energy   -2.628 eV/atom
Energy above the lowest structure with this stoichiometry   61 meV per atom
Symmetry   C2/c (15)

=====

[4]
Material: CeSm2S
Method: DFT, GGA-PBE
State: optimized geometry Values from VASP.

Cell and atoms, written as Quantum ESPRESSO input:
```
&SYSTEM
  ibrav = 0, nat = 4, ntyp = 3
/
ATOMIC_SPECIES
S 32.06 S.upf
Ce 140.12 Ce.upf
Sm 150.36 Sm.upf
CELL_PARAMETERS angstrom
3.758 0.000 0.000
1.879 3.254 0.000
1.879 1.085 9.460
ATOMIC_POSITIONS crystal
S 0.000 0.000 0.000
Ce 0.500 0.500 0.500
Sm 0.270 0.270 0.190
Sm 0.730 0.730 0.810
```

Total energy   -5.719 eV/atom
Raw formation energy   -0.84 eV/atom
Symmetry   R-3m (166)

=====

[5]
Material: BaInHg2Ge
Method: DFT, GGA-PBE
State: optimized geometry Values from VASP.

Cell and atoms, written as Quantum ESPRESSO input:
```
&SYSTEM
  ibrav = 0, nat = 5, ntyp = 4
/
ATOMIC_SPECIES
Ba 137.33 Ba.upf
In 114.82 In.upf
Hg 200.59 Hg.upf
Ge 72.64 Ge.upf
CELL_PARAMETERS angstrom
4.723 0.000 0.000
0.000 4.929 0.000
-2.362 -2.464 6.096
ATOMIC_POSITIONS crystal
Ba 0.440 0.440 0.880
In 0.191 0.691 0.381
Hg 0.702 0.202 0.403
Hg 0.051 0.051 0.103
Ge 0.829 0.829 0.658
```

Total energy   -2.326 eV/atom
Symmetry   Imm2 (44)

=====

[6]
Material: Cu3SnAu5
Method: DFT, GGA-PBE
State: optimized geometry Values from VASP.

Cell and atoms, written as Quantum ESPRESSO input:
```
&SYSTEM
  ibrav = 0, nat = 18, ntyp = 3
/
ATOMIC_SPECIES
Cu 63.55 Cu.upf
Sn 118.71 Sn.upf
Au 196.97 Au.upf
CELL_PARAMETERS angstrom
5.697 -0.441 -0.235
1.135 5.600 -0.235
1.668 1.260 10.393
ATOMIC_POSITIONS crystal
Cu 0.744 0.744 0.868
Cu 0.718 0.718 0.474
Cu 0.000 0.000 0.000
Cu 0.000 0.000 0.500
Cu 0.256 0.256 0.132
Cu 0.282 0.282 0.526
Sn 0.043 0.043 0.739
Sn 0.957 0.957 0.261
Au 0.991 0.425 0.338
Au 0.320 0.680 0.000
Au 0.721 0.721 0.120
Au 0.482 0.482 0.323
Au 0.518 0.518 0.677
Au 0.279 0.279 0.880
Au 0.425 0.991 0.338
Au 0.680 0.320 0.000
Au 0.009 0.575 0.662
Au 0.575 0.009 0.662
```

Total energy   -3.488 eV/atom
Symmetry   C2/m (12)

=====

[7]
Material: SrZnInNi
Method: DFT, GGA-PBE
State: optimized geometry Values from VASP.

Cell and atoms, written as Quantum ESPRESSO input:
```
&SYSTEM
  ibrav = 0, nat = 4, ntyp = 4
/
ATOMIC_SPECIES
Sr 87.62 Sr.upf
Zn 65.41 Zn.upf
In 114.82 In.upf
Ni 58.69 Ni.upf
CELL_PARAMETERS angstrom
-1.823 3.838 1.128
-4.114 -1.351 -2.058
-4.442 -0.568 3.645
ATOMIC_POSITIONS crystal
Sr 0.452 0.718 0.014
Zn 0.805 0.064 0.320
In 0.112 0.371 0.710
Ni 0.202 0.966 0.519
```

Total energy   -3.043 eV/atom
Energy above the lowest structure with this stoichiometry   58 meV per atom
Symmetry   P1 (1)

=====

[8]
Material: LiInSnSe4
Method: DFT, GGA-PBE
State: optimized geometry Values from VASP.

Cell and atoms, written as Quantum ESPRESSO input:
```
&SYSTEM
  ibrav = 0, nat = 14, ntyp = 4
/
ATOMIC_SPECIES
Li 6.94 Li.upf
In 114.82 In.upf
Sn 118.71 Sn.upf
Se 78.96 Se.upf
CELL_PARAMETERS angstrom
-7.538 -0.106 -2.740
-2.292 -5.650 -5.215
-5.029 -5.806 2.320
ATOMIC_POSITIONS crystal
Li 0.634 0.616 0.116
Li 0.366 0.384 0.884
In 0.500 0.000 0.500
In 0.000 0.000 0.500
Sn 0.000 0.000 0.000
Sn 0.000 0.500 0.500
Se 0.760 0.752 0.727
Se 0.240 0.773 0.748
Se 0.760 0.227 0.252
Se 0.240 0.248 0.273
Se 0.235 0.753 0.253
Se 0.760 0.753 0.253
Se 0.240 0.247 0.747
Se 0.765 0.247 0.747
```

Total energy   -3.846 eV/atom
Raw formation energy   -0.62 eV/atom
Symmetry   Imma (74)

=====

[9]
Material: SrReN3
Method: DFT, GGA-PBE
State: optimized geometry Values from VASP.

Cell and atoms, written as Quantum ESPRESSO input:
```
&SYSTEM
  ibrav = 0, nat = 10, ntyp = 3
/
ATOMIC_SPECIES
Re 186.21 Re.upf
N 14.01 N.upf
Sr 87.62 Sr.upf
CELL_PARAMETERS angstrom
3.097 -1.788 0.000
0.000 3.576 0.000
0.000 0.000 13.373
ATOMIC_POSITIONS crystal
Re 0.333 0.667 0.750
Re 0.667 0.333 0.250
N 0.000 0.000 0.250
N 0.000 0.000 0.750
N 0.333 0.667 0.889
N 0.333 0.667 0.611
N 0.667 0.333 0.389
N 0.667 0.333 0.111
Sr 0.000 0.000 0.000
Sr 0.000 0.000 0.500
```

Total energy   -7.709 eV/atom
Raw formation energy   0.11 eV/atom
Symmetry   P6_3/mmc (194)

=====

[10]
Material: YGa2Pt2
Method: DFT, GGA-PBE
State: optimized geometry Values from VASP.

Cell and atoms, written as Quantum ESPRESSO input:
```
&SYSTEM
  ibrav = 0, nat = 5, ntyp = 3
/
ATOMIC_SPECIES
Y 88.91 Y.upf
Ga 69.72 Ga.upf
Pt 195.08 Pt.upf
CELL_PARAMETERS angstrom
3.995 0.000 0.000
0.000 3.995 0.000
1.998 1.998 5.949
ATOMIC_POSITIONS crystal
Y 0.000 0.000 0.000
Ga 0.750 0.250 0.500
Ga 0.250 0.750 0.500
Pt 0.387 0.387 0.226
Pt 0.613 0.613 0.774
```

Total energy   -5.846 eV/atom
Symmetry   I4/mmm (139)

=====

[11]
Material: TcRh
Method: DFT, GGA-PBE
State: optimized geometry Values from VASP.

Cell and atoms, written as Quantum ESPRESSO input:
```
&SYSTEM
  ibrav = 0, nat = 4, ntyp = 2
/
ATOMIC_SPECIES
Rh 102.91 Rh.upf
Tc 98.00 Tc.upf
CELL_PARAMETERS angstrom
2.715 0.000 0.000
0.000 4.358 0.000
0.000 0.000 4.804
ATOMIC_POSITIONS crystal
Rh 0.000 0.000 0.001
Rh 0.000 0.500 0.332
Tc 0.500 0.000 0.505
Tc 0.500 0.500 0.828
```

Total energy   -9.033 eV/atom
Energy above the lowest structure with this stoichiometry   0 meV per atom
Symmetry   Pmma (51)

=====

[12]
Material: LaNiSn3
Method: DFT, GGA-PBE
State: optimized geometry Values from VASP.

Cell and atoms, written as Quantum ESPRESSO input:
```
&SYSTEM
  ibrav = 0, nat = 10, ntyp = 3
/
ATOMIC_SPECIES
La 138.91 La.upf
Ni 58.69 Ni.upf
Sn 118.71 Sn.upf
CELL_PARAMETERS angstrom
-3.723 1.364 -4.658
1.352 -5.233 -2.613
-5.122 -2.938 3.234
ATOMIC_POSITIONS crystal
La 0.403 0.305 0.701
La 0.903 0.047 0.201
Ni 0.171 0.779 0.701
Ni 0.671 0.574 0.201
Sn 0.375 0.282 0.201
Sn 0.464 0.832 0.960
Sn 0.964 0.521 0.460
Sn 0.875 0.071 0.701
Sn 0.965 0.521 0.941
Sn 0.465 0.831 0.441
```

Total energy   -5.077 eV/atom
Symmetry   Pmn2_1 (31)

=====

[13]
Material: In4Hg8Pb
Method: DFT, GGA-PBE
State: optimized geometry Values from VASP.

Cell and atoms, written as Quantum ESPRESSO input:
```
&SYSTEM
  ibrav = 0, nat = 13, ntyp = 3
/
ATOMIC_SPECIES
In 114.82 In.upf
Hg 200.59 Hg.upf
Pb 207.20 Pb.upf
CELL_PARAMETERS angstrom
-7.614 -1.053 3.004
-1.051 -2.891 7.658
-2.817 4.986 5.942
ATOMIC_POSITIONS crystal
In 0.947 0.351 0.351
In 0.351 0.947 0.351
In 0.351 0.351 0.947
In 0.351 0.351 0.351
Hg 0.717 0.094 0.094
Hg 0.094 0.717 0.094
Hg 0.094 0.094 0.717
Hg 0.094 0.094 0.094
Hg 0.186 0.605 0.605
Hg 0.605 0.186 0.605
Hg 0.605 0.605 0.186
Hg 0.605 0.605 0.605
Pb 0.750 0.750 0.750
```

Total energy   -1.204 eV/atom
Energy above the lowest structure with this stoichiometry   88 meV per atom
Symmetry   F-43m (216)

=====

[14]
Material: Ce13Pt2
Method: DFT, GGA-PBE
State: optimized geometry Values from VASP.

Cell and atoms, written as Quantum ESPRESSO input:
```
&SYSTEM
  ibrav = 0, nat = 15, ntyp = 2
/
ATOMIC_SPECIES
Ce 140.12 Ce.upf
Pt 195.08 Pt.upf
CELL_PARAMETERS angstrom
6.047 0.143 0.567
-0.584 7.299 0.222
-0.161 -3.440 8.754
ATOMIC_POSITIONS crystal
Ce 0.753 0.604 0.045
Ce 0.247 0.396 0.955
Ce 0.000 0.000 0.000
Ce 0.248 0.976 0.618
Ce 0.752 0.024 0.382
Ce 0.034 0.541 0.688
Ce 0.966 0.459 0.312
Ce 0.538 0.570 0.374
Ce 0.462 0.430 0.626
Ce 0.512 0.783 0.867
Ce 0.488 0.217 0.133
Ce 0.757 0.228 0.809
Ce 0.243 0.772 0.191
Pt 0.791 0.834 0.616
Pt 0.209 0.166 0.384
```

Total energy   -6.162 eV/atom
Symmetry   P-1 (2)

=====

[15]
Material: Mg3Si4
Method: DFT, GGA-PBE
State: optimized geometry Values from VASP.

Cell and atoms, written as Quantum ESPRESSO input:
```
&SYSTEM
  ibrav = 0, nat = 14, ntyp = 2
/
ATOMIC_SPECIES
Mg 24.30 Mg.upf
Si 28.09 Si.upf
CELL_PARAMETERS angstrom
5.669 -0.775 0.335
-2.421 7.272 0.108
-0.933 -3.396 6.619
ATOMIC_POSITIONS crystal
Mg 0.335 0.013 0.512
Mg 0.135 0.504 0.318
Mg 0.439 0.814 0.778
Mg 0.855 0.272 0.881
Mg 0.696 0.624 0.431
Mg 0.945 0.003 0.222
Si 0.889 0.662 0.867
Si 0.451 0.527 0.939
Si 0.595 0.138 0.186
Si 0.343 0.266 0.068
Si 0.242 0.367 0.590
Si 0.807 0.351 0.555
Si 0.022 0.959 0.785
Si 0.253 0.752 0.113
```

Total energy   -3.668 eV/atom
Raw formation energy   0.11 eV/atom
Energy above the lowest structure with this stoichiometry   62 meV per atom
Symmetry   P1 (1)

=====

[16]
Material: ErPIO4
Method: DFT, GGA-PBE
State: optimized geometry Values from VASP.

Cell and atoms, written as Quantum ESPRESSO input:
```
&SYSTEM
  ibrav = 0, nat = 14, ntyp = 4
/
ATOMIC_SPECIES
Er 167.26 Er.upf
P 30.97 P.upf
I 126.90 I.upf
O 16.00 O.upf
CELL_PARAMETERS angstrom
-0.687 -2.451 5.863
5.180 -1.271 3.522
0.276 5.427 3.428
ATOMIC_POSITIONS crystal
Er 0.292 0.292 0.832
Er 0.708 0.708 0.168
P 0.637 0.637 0.738
P 0.363 0.363 0.262
I 0.015 0.015 0.272
I 0.985 0.985 0.728
O 0.303 0.303 0.495
O 0.697 0.697 0.505
O 0.127 0.504 0.140
O 0.505 0.505 0.233
O 0.496 0.873 0.860
O 0.504 0.127 0.140
O 0.495 0.495 0.767
O 0.873 0.496 0.860
```

Total energy   -6.887 eV/atom
Raw formation energy   -2.41 eV/atom
Symmetry   C2/m (12)

=====

[17]
Material: Ce3Pr4Te8
Method: DFT, GGA-PBE
State: optimized geometry Values from VASP.

Cell and atoms, written as Quantum ESPRESSO input:
```
&SYSTEM
  ibrav = 0, nat = 15, ntyp = 3
/
ATOMIC_SPECIES
Ce 140.12 Ce.upf
Pr 140.91 Pr.upf
Te 127.60 Te.upf
CELL_PARAMETERS angstrom
8.982 -0.126 -0.181
-4.381 7.864 0.150
-4.381 -2.589 7.427
ATOMIC_POSITIONS crystal
Ce 0.500 0.500 0.000
Ce 0.500 0.000 0.500
Ce 0.500 0.500 0.500
Pr 0.500 0.000 0.000
Pr 0.000 0.500 0.000
Pr 0.000 0.000 0.000
Pr 0.000 0.000 0.500
Te 0.511 0.256 0.256
Te 0.000 0.745 0.255
Te 0.002 0.257 0.257
Te 0.500 0.749 0.251
Te 0.500 0.251 0.749
Te 0.998 0.743 0.743
Te 0.000 0.255 0.745
Te 0.489 0.744 0.744
```

Total energy   -5.576 eV/atom
Raw formation energy   -1.44 eV/atom
Symmetry   C2/m (12)

=====

[18]
Material: Sc5IrPd4
Method: DFT, GGA-PBE
State: optimized geometry Values from VASP.

Cell and atoms, written as Quantum ESPRESSO input:
```
&SYSTEM
  ibrav = 0, nat = 10, ntyp = 3
/
ATOMIC_SPECIES
Sc 44.96 Sc.upf
Ir 192.22 Ir.upf
Pd 106.42 Pd.upf
CELL_PARAMETERS angstrom
-3.002 -0.249 -1.184
1.076 -1.996 -2.310
-2.912 -13.367 10.194
ATOMIC_POSITIONS crystal
Sc 0.500 0.500 0.095
Sc 0.500 0.500 0.298
Sc 0.500 0.500 0.500
Sc 0.500 0.500 0.702
Sc 0.500 0.500 0.905
Ir 0.000 0.000 0.000
Pd 0.000 0.000 0.199
Pd 0.000 0.000 0.399
Pd 0.000 0.000 0.601
Pd 0.000 0.000 0.801
```

Total energy   -7.056 eV/atom
Symmetry   P4/mmm (123)

=====

[19]
Material: CePm2Ge6
Method: DFT, GGA-PBE
State: optimized geometry Values from VASP.

Cell and atoms, written as Quantum ESPRESSO input:
```
&SYSTEM
  ibrav = 0, nat = 9, ntyp = 3
/
ATOMIC_SPECIES
Ce 140.12 Ce.upf
Pm 145.00 Pm.upf
Ge 72.64 Ge.upf
CELL_PARAMETERS angstrom
-1.592 3.690 0.434
-6.299 -3.074 3.029
5.830 1.984 4.514
ATOMIC_POSITIONS crystal
Ce 0.000 0.000 0.000
Pm 0.000 0.333 0.667
Pm 0.000 0.667 0.333
Ge 0.500 0.334 0.334
Ge 0.500 0.666 0.666
Ge 0.500 0.000 0.666
Ge 0.500 0.666 0.000
Ge 0.500 0.334 0.000
Ge 0.500 0.000 0.334
```

Total energy   -5.364 eV/atom
Energy above the lowest structure with this stoichiometry   0 meV per atom
Symmetry   P6/mmm (191)

=====

[20]
Material: Ac2GeO
Method: DFT, GGA-PBE
State: optimized geometry Values from VASP.

Cell and atoms, written as Quantum ESPRESSO input:
```
&SYSTEM
  ibrav = 0, nat = 4, ntyp = 3
/
ATOMIC_SPECIES
Ac 227.00 Ac.upf
Ge 72.64 Ge.upf
O 16.00 O.upf
CELL_PARAMETERS angstrom
4.234 0.000 0.000
2.117 3.667 0.000
2.117 1.222 8.022
ATOMIC_POSITIONS crystal
Ac 0.097 0.097 0.708
Ac 0.269 0.269 0.192
Ge 0.672 0.672 0.983
O 0.461 0.461 0.617
```

Total energy   -5.819 eV/atom
Raw formation energy   -1.37 eV/atom
Energy above the lowest structure with this stoichiometry   386 meV per atom
Symmetry   R3m (160)

=====

[21]
Material: ScTaFe
Method: DFT, GGA-PBE
State: optimized geometry Values from VASP.

Cell and atoms, written as Quantum ESPRESSO input:
```
&SYSTEM
  ibrav = 0, nat = 3, ntyp = 3
/
ATOMIC_SPECIES
Fe 55.84 Fe.upf
Sc 44.96 Sc.upf
Ta 180.95 Ta.upf
CELL_PARAMETERS angstrom
4.330 0.000 0.000
-2.165 3.750 0.000
0.000 0.000 3.034
ATOMIC_POSITIONS crystal
Fe 0.000 0.000 0.971
Sc 0.667 0.333 0.301
Ta 0.333 0.667 0.728
```

Total energy   -8.770 eV/atom
Energy above the lowest structure with this stoichiometry   139 meV per atom
Symmetry   P3m1 (156)

=====

[22]
Material: LaPm4PrSm2
Method: DFT, GGA-PBE
State: optimized geometry Values from VASP.

Cell and atoms, written as Quantum ESPRESSO input:
```
&SYSTEM
  ibrav = 0, nat = 8, ntyp = 4
/
ATOMIC_SPECIES
La 138.91 La.upf
Pm 145.00 Pm.upf
Pr 140.91 Pr.upf
Sm 150.36 Sm.upf
CELL_PARAMETERS angstrom
3.674 0.000 0.000
0.000 12.064 -1.731
0.000 2.012 6.016
ATOMIC_POSITIONS crystal
La 0.500 0.500 0.000
Pm 0.000 0.753 0.749
Pm 0.000 0.247 0.251
Pm 0.500 0.753 0.249
Pm 0.500 0.247 0.751
Pr 0.000 0.500 0.500
Sm 0.000 0.000 0.000
Sm 0.500 0.000 0.500
```

Total energy   -4.751 eV/atom
Symmetry   P2/m (10)

=====

[23]
Material: PrSmCo
Method: DFT, GGA-PBE
State: optimized geometry Values from VASP.

Cell and atoms, written as Quantum ESPRESSO input:
```
&SYSTEM
  ibrav = 0, nat = 6, ntyp = 3
/
ATOMIC_SPECIES
Pr 140.91 Pr.upf
Sm 150.36 Sm.upf
Co 58.93 Co.upf
CELL_PARAMETERS angstrom
-2.487 -2.842 0.021
2.911 -0.086 -5.877
6.275 -2.980 1.266
ATOMIC_POSITIONS crystal
Pr 0.177 0.763 0.091
Pr 0.823 0.237 0.909
Sm 0.577 0.265 0.389
Sm 0.423 0.735 0.611
Co 0.113 0.034 0.692
Co 0.887 0.966 0.308
```

Total energy   -5.599 eV/atom
Energy above the lowest structure with this stoichiometry   0 meV per atom
Symmetry   C2/m (12)